(1)
Below is a relaxed structure of LaZnCu, with properties calculated at the PBE level.

Lattice parameters (Å, degrees): 4.4990 4.4990 3.7515 90.00 90.00 120.00
Space group P-6m2 (No. 187)
Unique sites:
La 0.0000 0.0000 0.0000 (multiplicity 1)
Zn 0.6667 0.3333 0.5000 (multiplicity 1)
Cu 0.3333 0.6667 0.5000 (multiplicity 1)

(2)
Below is a relaxed structure of La3Zn2Cu3, with properties calculated at the PBE level.

Lattice parameters (Å, degrees): 8.089 15.312 5.826 90.00 90.00 90.00
Space group Pnma (No. 62)
Unique sites:
La 0.045 0.102 0.149 (multiplicity 8)
La 0.173 0.250 0.619 (multiplicity 4)
Zn 0.115 0.600 0.361 (multiplicity 8)
Cu 0.175 0.037 0.602 (multiplicity 8)
Cu 0.180 0.750 0.596 (multiplicity 4)

(3)
Below is a relaxed structure of LaZn9Cu2, with properties calculated at the PBE level.

Lattice parameters (Å, degrees): 7.9668 7.9668 3.7722 90.00 90.00 120.00
Space group P6/mmm (No. 191)
Unique sites:
La 0.0000 0.0000 0.0000 (multiplicity 1)
Zn 0.0000 0.5000 0.0000 (multiplicity 3)
Zn 0.2018 0.4035 0.5000 (multiplicity 6)
Cu 0.3333 0.6667 0.0000 (multiplicity 2)

Values from the calculation:
- ΔE to the lowest computed polymorph (kJ/mol of atoms) = 14.5

(4)
Below is a relaxed structure of LaZn8Cu4, with properties calculated at the PBE level.

Lattice parameters (Å, degrees): 8.989 8.989 4.962 90.00 90.00 90.00
Space group I4/mmm (No. 139)
Unique sites:
La 0.000 0.000 0.000 (multiplicity 2)
Zn 0.000 0.227 0.500 (multiplicity 8)
Zn 0.000 0.351 0.000 (multiplicity 8)
Cu 0.250 0.250 0.250 (multiplicity 8)

(5)
Below is a relaxed structure of La2Zn15Cu2, with properties calculated at the PBE level.

Lattice parameters (Å, degrees): 9.0746 9.0746 13.3207 90.00 90.00 120.00
Space group R-3m (No. 166, hexagonal axes)
Unique sites:
La 0.0000 0.0000 0.1628 (multiplicity 6)
Zn 0.0000 0.2846 0.5000 (multiplicity 18)
Zn 0.0000 0.5000 0.0000 (multiplicity 9)
Zn 0.0026 0.5013 0.6536 (multiplicity 18)
Cu 0.0000 0.0000 0.4011 (multiplicity 6)

(6)
Below is a relaxed structure of La2ZnCu3, with properties calculated at the PBE level.

Lattice parameters (Å, degrees): 7.680 8.831 15.209 90.00 90.00 90.00
Space group Fmmm (No. 69)
Unique sites:
La 0.245 0.000 0.000 (multiplicity 8)
La 0.250 0.250 0.250 (multiplicity 8)
Zn 0.000 0.000 0.334 (multiplicity 8)
Cu 0.000 0.000 0.166 (multiplicity 8)
Cu 0.000 0.250 0.083 (multiplicity 16)

(7)
Below is a relaxed structure of La6ZnCu, with properties calculated at the PBE level.

Lattice parameters (Å, degrees): 4.942 4.942 9.886 90.00 90.00 90.00
Space group P4/mmm (No. 123)
Unique sites:
La 0.000 0.000 0.000 (multiplicity 1)
La 0.000 0.000 0.500 (multiplicity 1)
La 0.000 0.500 0.248 (multiplicity 4)
Zn 0.500 0.500 0.500 (multiplicity 1)
Cu 0.500 0.500 0.000 (multiplicity 1)

(8)
Below is a relaxed structure of La3ZnCu8, with properties calculated at the PBE level.

Lattice parameters (Å, degrees): 5.3046 5.3046 8.6467 90.00 90.00 120.00
Space group P3m1 (No. 156)
Unique sites:
La 0.0000 0.0000 0.0000 (multiplicity 1)
La 0.0000 0.0000 0.3933 (multiplicity 1)
La 0.3333 0.6667 0.8501 (multiplicity 1)
Zn 0.3333 0.6667 0.4777 (multiplicity 1)
Cu 0.3435 0.1717 0.6824 (multiplicity 3)
Cu 0.5004 0.0007 0.1956 (multiplicity 3)
Cu 0.6667 0.3333 0.4430 (multiplicity 1)
Cu 0.6667 0.3333 0.9471 (multiplicity 1)

(9)
Below is a relaxed structure of LaZnCu, with properties calculated at the PBE level.

Lattice parameters (Å, degrees): 4.272 5.298 6.305 101.73 109.71 90.25
Space group P-1 (No. 2)
Unique sites:
La 0.113 0.302 0.226 (multiplicity 2)
Zn 0.405 0.216 0.811 (multiplicity 2)
Cu 0.218 0.860 0.436 (multiplicity 2)

(10)
Below is a relaxed structure of La3Zn2Cu9, with properties calculated at the PBE level.

Lattice parameters (Å, degrees): 4.282 8.922 12.951 90.00 90.00 90.00
Space group Immm (No. 71)
Unique sites:
La 0.000 0.000 0.000 (multiplicity 2)
La 0.000 0.000 0.298 (multiplicity 4)
Zn 0.000 0.200 0.500 (multiplicity 4)
Cu 0.000 0.285 0.124 (multiplicity 8)
Cu 0.000 0.354 0.333 (multiplicity 8)
Cu 0.000 0.500 0.000 (multiplicity 2)

(11)
Below is a relaxed structure of La2Zn5Cu3, with properties calculated at the PBE level.

Lattice parameters (Å, degrees): 4.153 4.153 10.998 90.00 90.00 90.00
Space group P-4m2 (No. 115)
Unique sites:
La 0.000 0.500 0.236 (multiplicity 2)
Zn 0.000 0.000 0.500 (multiplicity 1)
Zn 0.000 0.500 0.643 (multiplicity 2)
Zn 0.500 0.500 0.000 (multiplicity 1)
Zn 0.500 0.500 0.500 (multiplicity 1)
Cu 0.000 0.000 0.000 (multiplicity 1)
Cu 0.000 0.500 0.871 (multiplicity 2)

Values from the calculation:
- ΔE to the lowest computed polymorph (kJ/mol of atoms) = 1.7

(12)
Below is a relaxed structure of La3Zn4Cu4, with properties calculated at the PBE level.

Lattice parameters (Å, degrees): 4.340 7.112 14.257 90.00 90.00 90.00
Space group Immm (No. 71)
Unique sites:
La 0.000 0.000 0.000 (multiplicity 2)
La 0.000 0.500 0.134 (multiplicity 4)
Zn 0.000 0.315 0.332 (multiplicity 8)
Cu 0.000 0.000 0.216 (multiplicity 4)
Cu 0.000 0.180 0.500 (multiplicity 4)

Values from the calculation:
- ΔE to the lowest computed polymorph (kJ/mol of atoms) = 0.6

| no. | calculated formation energy (eV/atom) |
| --- | --- |
| 1 | -0.285 |
| 2 | -0.229 |
| 3 | -0.108 |
| 4 | -0.193 |
| 5 | -0.243 |
| 6 | -0.249 |
| 7 | 0.031 |
| 8 | -0.129 |
| 9 | -0.252 |
| 10 | -0.192 |
| 11 | -0.247 |
| 12 | -0.259 |